! PBE-GGA Tm3Ge2Rh5, relaxed; values from VASP
! M_tot ... 0.00 μB per formula unit
! Energy of formation ... -0.89 eV per atom
! Theoretical density ... 10.92 g/cm³
! Calculated volume ... 354.7 Å³ per cell
! Space group ... No. 127
&SYSTEM
  ibrav = 0, nat = 20, ntyp = 3
/
ATOMIC_SPECIES
Tm 168.93 Tm.upf
Ge 72.64 Ge.upf
Rh 102.91 Rh.upf
CELL_PARAMETERS angstrom
3.6434 0.0000 0.0000
0.0000 9.8666 0.0000
0.0000 0.0000 9.8666
ATOMIC_POSITIONS angstrom
Tm 0.0000 8.1624 6.6375
Tm 0.0000 3.2291 8.1624
Tm 0.0000 0.0000 0.0000
Tm 0.0000 4.9333 4.9333
Tm 0.0000 1.7042 3.2291
Tm 0.0000 6.6375 1.7042
Ge 0.0000 6.1592 8.6407
Ge 0.0000 3.7074 1.2259
Ge 0.0000 1.2259 6.1592
Ge 0.0000 8.6407 3.7074
Rh 1.8217 4.9333 0.0000
Rh 1.8217 2.8172 5.6243
Rh 1.8217 2.1161 0.6910
Rh 1.8217 7.0494 4.2423
Rh 1.8217 0.0000 4.9333
Rh 1.8217 0.6910 7.7505
Rh 1.8217 9.1756 2.1161
Rh 1.8217 7.7505 9.1756
Rh 1.8217 4.2423 2.8172
Rh 1.8217 5.6243 7.0494


! PBE-GGA La2Sm3In, relaxed; values from VASP
! M_tot ... 0.00 μB per formula unit
! Energy of formation ... -0.15 eV per atom
! Theoretical density ... 7.22 g/cm³
! Calculated volume ... 194.1 Å³ per cell
! E above lowest polymorph ... 0 meV per atom
! Space group ... No. 65
&SYSTEM
  ibrav = 0, nat = 6, ntyp = 3
/
ATOMIC_SPECIES
Sm 150.36 Sm.upf
La 138.91 La.upf
In 114.82 In.upf
CELL_PARAMETERS angstrom
4.9966 0.0000 0.0000
0.0000 4.7193 -1.5957
0.0000 0.1380 8.1846
ATOMIC_POSITIONS angstrom
Sm 2.4983 4.0609 4.2337
Sm 2.4983 2.3596 -0.7978
Sm 2.4983 0.7964 2.3553
La 0.0000 3.1785 1.6239
La 0.0000 1.6788 4.9651
In 0.0000 0.0000 0.0000


! PBE-GGA Tb4PmNd8, relaxed; values from VASP
! M_tot ... 0.00 μB per formula unit
! Energy of formation ... 0.18 eV per atom
! Theoretical density ... 7.15 g/cm³
! Calculated volume ... 449.5 Å³ per cell
! Space group ... No. 166
&SYSTEM
  ibrav = 0, nat = 13, ntyp = 3
/
ATOMIC_SPECIES
Nd 144.24 Nd.upf
Tb 158.93 Tb.upf
Pm 145.00 Pm.upf
CELL_PARAMETERS angstrom
6.5084 -0.0005 -3.5110
-4.2012 6.0858 -0.0005
1.3441 0.9286 10.2783
ATOMIC_POSITIONS angstrom
Nd 2.5922 1.7896 1.3079
Nd 3.9816 5.2242 3.8823
Nd -0.3303 1.7897 2.8844
Nd 6.2964 1.8711 3.8825
Nd 2.7668 1.9102 5.1277
Nd -2.6451 5.1429 2.8842
Nd 0.8845 5.1037 1.6390
Nd 1.0591 5.2244 5.4588
Tb 3.2542 -0.0002 -1.7555
Tb 0.0000 0.0000 0.0000
Tb 1.1536 3.0427 -1.7558
Tb -2.1006 3.0429 -0.0003
Pm -1.4285 3.5072 5.1389


! PBE-GGA Ba2CrTc2N6, relaxed; values from VASP
! Formation energy without anion corrections ... -0.3995 eV/atom
! M_tot ... 1.98 μB per formula unit
! Theoretical density ... 5.80 g/cm³
! Calculated volume ... 173.7 Å³ per cell
! Space group ... No. 166
&SYSTEM
  ibrav = 0, nat = 11, ntyp = 4
/
ATOMIC_SPECIES
Tc 98.00 Tc.upf
N 14.01 N.upf
Ba 137.33 Ba.upf
Cr 52.00 Cr.upf
CELL_PARAMETERS angstrom
5.9134 0.0000 0.0000
2.9567 5.1212 0.0000
2.9567 1.7071 5.7354
ATOMIC_POSITIONS angstrom
Tc 5.9134 3.4141 1.5824
Tc 5.9134 3.4141 4.1530
N 5.9134 1.6585 1.1497
N 7.4338 4.2919 1.1497
N 7.4338 2.5363 4.5858
N 4.3930 4.2919 1.1497
N 4.3930 2.5363 4.5858
N 5.9134 5.1697 4.5858
Ba 8.8701 5.1212 3.9444
Ba 2.9567 1.7071 1.7910
Cr 0.0000 0.0000 0.0000


! PBE-GGA Ho2PuF, relaxed; values from VASP
! Formation energy without anion corrections ... -0.7653 eV/atom
! M_tot ... 6.12 μB per formula unit
! Theoretical density ... 10.17 g/cm³
! Calculated volume ... 96.8 Å³ per cell
! Space group ... No. 166
&SYSTEM
  ibrav = 0, nat = 4, ntyp = 3
/
ATOMIC_SPECIES
Pu 244.00 Pu.upf
Ho 164.93 Ho.upf
F 19.00 F.upf
CELL_PARAMETERS angstrom
-0.4731 2.9648 1.4765
-2.9702 0.7417 1.3496
1.8458 -2.6245 9.6520
ATOMIC_POSITIONS angstrom
Pu 0.0000 0.0000 0.0000
Ho 0.8736 -1.3710 6.8234
Ho -2.4712 2.4529 5.6546
F -0.7988 0.5410 6.2390


! PBE-GGA Ac2Pm2Ir3, relaxed; values from VASP
! M_tot ... 0.00 μB per formula unit
! Energy of formation ... -0.57 eV per atom
! Theoretical density ... 10.64 g/cm³
! Calculated volume ... 206.0 Å³ per cell
! Space group ... No. 12
&SYSTEM
  ibrav = 0, nat = 7, ntyp = 3
/
ATOMIC_SPECIES
Ir 192.22 Ir.upf
Ac 227.00 Ac.upf
Pm 145.00 Pm.upf
CELL_PARAMETERS angstrom
-1.3568 -4.2193 -0.1417
5.8366 -1.8145 -1.8567
1.8199 1.5004 7.2816
ATOMIC_POSITIONS angstrom
Ir 0.0000 0.0000 0.0000
Ir 0.9503 -2.7519 3.4573
Ir 5.3495 -1.7816 1.8259
Ac 2.3550 -0.8109 1.5959
Ac 3.9447 -3.7226 3.6872
Pm 1.7392 -0.7414 5.4213
Pm 4.5605 -3.7921 -0.1381


! PBE-GGA PrIn2Pt3, relaxed; values from VASP
! M_tot ... 0.00 μB per formula unit
! Energy of formation ... -0.63 eV per atom
! Theoretical density ... 11.85 g/cm³
! Calculated volume ... 267.8 Å³ per cell
! Space group ... No. 63
&SYSTEM
  ibrav = 0, nat = 12, ntyp = 3
/
ATOMIC_SPECIES
Pt 195.08 Pt.upf
In 114.82 In.upf
Pr 140.91 Pr.upf
CELL_PARAMETERS angstrom
-2.3162 -5.2167 0.5931
3.3963 -2.1368 -5.5308
5.1551 -1.8229 4.0979
ATOMIC_POSITIONS angstrom
Pt 0.9090 -4.9259 1.8653
Pt 5.9868 -4.1326 0.9119
Pt 0.2483 -5.0438 -1.7518
Pt 5.3261 -4.2505 -2.7051
Pt -1.1952 -4.1635 0.3540
Pt 7.4303 -5.0129 -1.1939
In 3.5712 -4.5073 2.0637
In 4.7293 -1.8989 1.7672
In 2.6639 -4.6691 -2.9036
In 3.8220 -2.0608 -3.2001
Pr 1.5334 -2.2823 -0.2057
Pr 4.7018 -6.8941 -0.6341


! PBE-GGA Ru2Pt2W, relaxed; values from VASP
! M_tot ... 0.00 μB per formula unit
! Energy of formation ... 0.29 eV per atom
! Theoretical density ... 16.25 g/cm³
! Calculated volume ... 158.7 Å³ per cell
! E above lowest polymorph ... 0 meV per atom
! Space group ... No. 127
&SYSTEM
  ibrav = 0, nat = 10, ntyp = 3
/
ATOMIC_SPECIES
Pt 195.08 Pt.upf
Ru 101.07 Ru.upf
W 183.84 W.upf
CELL_PARAMETERS angstrom
6.6432 0.0000 0.0000
0.0000 6.6432 0.0000
0.0000 0.0000 3.5953
ATOMIC_POSITIONS angstrom
Pt 2.2068 1.1148 1.7976
Pt 1.1148 4.4364 1.7976
Pt 4.4364 5.5284 1.7976
Pt 5.5284 2.2068 1.7976
Ru 2.4518 5.7734 0.0000
Ru 4.1914 0.8698 0.0000
Ru 0.8698 2.4518 0.0000
Ru 5.7734 4.1914 0.0000
W 3.3216 3.3216 0.0000
W 0.0000 0.0000 0.0000


! PBE-GGA Mg2Zn5Pd4, relaxed; values from VASP
! M_tot ... 0.00 μB per formula unit
! Energy of formation ... -0.40 eV per atom
! Theoretical density ... 6.97 g/cm³
! Calculated volume ... 190.9 Å³ per cell
! Space group ... No. 69
&SYSTEM
  ibrav = 0, nat = 11, ntyp = 3
/
ATOMIC_SPECIES
Zn 65.41 Zn.upf
Mg 24.30 Mg.upf
Pd 106.42 Pd.upf
CELL_PARAMETERS angstrom
4.8996 0.0000 1.8080
2.4498 4.2689 0.9040
-0.5137 0.0000 8.9351
ATOMIC_POSITIONS angstrom
Zn 3.6747 2.1345 1.3560
Zn 2.4498 0.0000 0.9040
Zn 1.2249 2.1345 0.4520
Zn 4.6428 2.1345 6.2755
Zn 2.1930 2.1345 5.3715
Mg 4.1002 0.0000 3.9745
Mg 0.2858 0.0000 6.7686
Pd 2.6826 1.4559 7.8162
Pd 4.1532 2.8131 3.8308
Pd 1.7034 1.4559 2.9268
Pd 5.1324 2.8131 8.7202


no.,E_tot (eV/atom)
1,-6.84
2,-4.60
3,-4.55
4,-8.05
5,-7.11
6,-6.90
7,-5.36
8,-8.43
9,-3.16